A plane-wave DFT calculation with PBE-GGA was carried out for NaHf3Hg after structural relaxation.

abc: 4.941 4.941 4.941
angles: 90.00 90.00 90.00
Fractional coordinates of all 5 atoms:
Na  0.000  0.000  0.000
Hf  0.000  0.000  0.500
Hf  0.000  0.500  0.000
Hf  0.500  0.000  0.000
Hg  0.500  0.500  0.500

Values from the calculation:
As for the energy relative to the lowest polymorph listed for this composition: 1.513 eV/f.u. The density of states at the Fermi level is 4.2 states/eV/f.u. For the size of the total moment, the calculation gives 0.0 μB per cell. The formation energy is 1.519 eV/atom.